Entry 1:
LaHgI after structural relaxation. Source: Alexandria via LeMat-Bulk, functional GGA-PBE.

Calculated values
- energy relative to the lowest polymorph listed for this composition (meV per atom) = 162
- formation energy without anion corrections (eV per atom) = -0.73
- DOS at the Fermi energy (states/eV/cell) = 37.3

CIF file:
```
data_LaHgI
_space_group_name_H-M_alt 'F d d 2'
_space_group_IT_number 43
_space_group_name_Hall 'F 2 -2d'
_cell_length_a 13.463
_cell_length_b 14.858
_cell_length_c 8.984
_cell_angle_alpha 90.00
_cell_angle_beta 90.00
_cell_angle_gamma 90.00
loop_
_atom_site_label
_atom_site_type_symbol
_atom_site_fract_x
_atom_site_fract_y
_atom_site_fract_z
La1 La 0.041 0.274 0.000
Hg1 Hg 0.011 0.397 0.288
I1 I 0.075 0.382 0.694
```

=====

Entry 2:
K2PtNCl after structural relaxation. Source: Alexandria via LeMat-Bulk, functional GGA-PBE.

Calculated values
- formation energy without anion corrections (eV per atom) = -0.78
- DOS at the Fermi energy (states/eV/cell) = 2.1

CIF file:
```
data_K2PtNCl
_space_group_name_H-M_alt 'P 4/m m m'
_space_group_IT_number 123
_space_group_name_Hall '-P 4 2'
_cell_length_a 5.866
_cell_length_b 5.866
_cell_length_c 3.720
_cell_angle_alpha 90.00
_cell_angle_beta 90.00
_cell_angle_gamma 90.00
loop_
_atom_site_label
_atom_site_type_symbol
_atom_site_fract_x
_atom_site_fract_y
_atom_site_fract_z
K1 K 0.000 0.500 0.000
Pt1 Pt 0.000 0.000 0.500
N1 N 0.000 0.000 0.000
Cl1 Cl 0.500 0.500 0.500
```

=====

Entry 3:
Hf5Sb5As after structural relaxation. Source: Alexandria via LeMat-Bulk, functional GGA-PBE.

Calculated values
- formation energy without anion corrections (eV per atom) = -0.45
- DOS at the Fermi energy (states/eV/cell) = 13.7

CIF file:
```
data_Hf5Sb5As
_space_group_name_H-M_alt 'C 1 2/m 1'
_space_group_IT_number 12
_cell_length_a 12.610
_cell_length_b 5.706
_cell_length_c 8.051
_cell_angle_alpha 90.00
_cell_angle_beta 109.11
_cell_angle_gamma 90.00
loop_
_space_group_symop_operation_xyz
'x,y,z'
'-x,-y,-z'
'-x,y,-z'
'x,-y,z'
'x+1/2,y+1/2,z'
'-x+1/2,-y+1/2,-z'
'-x+1/2,y+1/2,-z'
'x+1/2,-y+1/2,z'
loop_
_atom_site_label
_atom_site_type_symbol
_atom_site_fract_x
_atom_site_fract_y
_atom_site_fract_z
Hf1 Hf 0.000 0.000 0.000
Hf2 Hf 0.157 0.500 0.313
Hf3 Hf 0.167 0.500 0.851
Sb1 Sb 0.000 0.500 0.500
Sb2 Sb 0.151 0.000 0.801
Sb3 Sb 0.165 0.000 0.344
As1 As 0.000 0.500 0.000
```

=====

Entry 4:
Cs2AgPdBr6 after structural relaxation. Source: Alexandria via LeMat-Bulk, functional GGA-PBE.

Calculated values
- formation energy without anion corrections (eV per atom) = -0.92
- DOS at the Fermi energy (states/eV/cell) = 22.5

CIF file:
```
data_Cs2AgPdBr6
_space_group_name_H-M_alt 'R -3 m'
_space_group_IT_number 166
_space_group_name_Hall '-R 3 2"'
_cell_length_a 7.6723
_cell_length_b 7.6723
_cell_length_c 39.1688
_cell_angle_alpha 90.00
_cell_angle_beta 90.00
_cell_angle_gamma 120.00
loop_
_atom_site_label
_atom_site_type_symbol
_atom_site_fract_x
_atom_site_fract_y
_atom_site_fract_z
Cs1 Cs 0.0000 0.0000 0.1218
Cs2 Cs 0.0000 0.0000 0.2949
Ag1 Ag 0.0000 0.0000 0.4128
Pd1 Pd 0.0000 0.0000 0.0000
Pd2 Pd 0.0000 0.0000 0.5000
Br1 Br 0.0113 0.5057 0.7053
Br2 Br 0.0125 0.5062 0.1280
```

=====

no.,ρ (g/cm³)
1,6.90
2,4.19
3,9.56
4,4.79